Below is VMo6W2 after structural relaxation, with properties calculated at the PBE-GGA level.

Computed properties:
For the energy of formation, the calculation gives 0.305 eV per atom. The uncorrected energy is -10.808 eV per atom. For the density of states at the Fermi level, the calculation gives 0.696 states/eV/atom. The magnetization is 0.0 μB per cell.

Cell and atoms, written as POSCAR:
```
VMo6W2
1.0
3.877 -4.141 0.000
3.877 4.141 0.000
-1.287 0.000 4.513
V Mo W
1 6 2
Cartesian
0.000 0.000 0.000 V
1.510 1.420 3.761 Mo
3.233 2.751 2.257 Mo
4.957 1.420 0.752 Mo
1.510 -1.420 3.761 Mo
3.233 -2.751 2.257 Mo
4.957 -1.420 0.752 Mo
2.139 0.000 1.502 W
4.327 0.000 3.011 W
```

---

Below is La8CdAg2 after structural relaxation, with properties calculated at the PBE-GGA level.

Computed properties:
For the energy of formation, the calculation gives -0.131 eV per atom. The uncorrected energy is -4.316 eV per atom. For the density of states at the Fermi level, the calculation gives 1.266 states/eV/atom. The magnetization is 0.0 μB per cell.

Cell and atoms, written as POSCAR:
```
La8CdAg2
1.0
8.396 -2.802 0.000
8.396 2.802 0.000
-4.555 0.000 7.614
La Cd Ag
8 1 2
Cartesian
0.186 0.000 1.723 La
-0.812 0.000 5.349 La
2.855 0.000 4.117 La
6.576 0.000 0.345 La
5.659 0.000 7.269 La
9.381 0.000 3.497 La
13.048 0.000 2.264 La
12.050 0.000 5.891 La
6.118 0.000 3.807 Cd
3.281 0.000 0.909 Ag
8.955 0.000 6.705 Ag
```

---

Below is SrUAg2S6 after structural relaxation, with properties calculated at the PBE-GGA level.

Computed properties:
The uncorrected energy is -5.126 eV per atom. For the density of states at the Fermi level, the calculation gives 0.186 states/eV/atom. The uncorrected formation energy comes out at -0.7826 eV/atom. The magnetization is 0.0 μB per cell.

Cell and atoms, written as POSCAR:
```
SrUAg2S6
1.0
6.451 0.000 0.000
2.714 5.961 0.000
2.546 2.220 6.379
Sr U Ag S
1 1 2 6
Cartesian
0.000 0.000 0.000 Sr
5.788 4.151 2.887 U
2.811 2.035 2.816 Ag
8.660 6.210 5.731 Ag
4.530 6.133 4.148 S
3.917 3.557 1.254 S
4.738 2.319 4.377 S
6.441 5.831 1.087 S
7.694 4.272 4.495 S
7.175 2.401 1.530 S
```